Record 1
UTcGeN: relaxed, GGA-PBE.

Cell: 3.912 3.912 8.387 Å, 90.00 90.00 90.00°
Last column: magnetic moment on the atom in μB.
Fractional positions:
Ge: 0.000 0.500 0.807  -0.03
Ge: 0.500 0.000 0.193  -0.03
Tc: 0.500 0.500 0.000  0.35
Tc: 0.000 0.000 0.000  0.35
U: 0.500 0.000 0.635  1.36
U: 0.000 0.500 0.365  1.36
N: 0.000 0.000 0.500  -0.09
N: 0.500 0.500 0.500  -0.09

Values from the calculation:
DFT total energy = -74.68 eV/cell

Record 2
Y2TcGeN: relaxed, GGA-PBE.

Cell: 4.865 3.930 4.865 Å, 90.00 90.00 90.00°
Fractional positions:
N: 0.000 0.000 0.000
Ge: 0.500 0.500 0.500
Y: 0.000 0.000 0.500
Y: 0.500 0.000 0.000
Tc: 0.000 0.500 0.000

Values from the calculation:
DFT total energy = -40.03 eV/cell

Record 3
GeTeN2: relaxed, GGA-PBE.

Cell: 5.308 5.308 5.688 Å, 62.19 62.19 90.00°
Fractional positions:
N: 0.528 0.125 0.250
N: 0.222 0.625 0.250
N: 0.375 0.472 0.750
N: 0.875 0.778 0.750
Te: 0.750 0.250 0.500
Te: 0.000 0.000 0.000
Ge: 0.500 0.500 0.000
Ge: 0.250 0.750 0.500

Values from the calculation:
energy above the lowest structure with this stoichiometry = 184.7 meV/atom

no.,V (Å³ per atom),N(E_F) (states/eV/cell)
1,16.042,10.86
2,18.602,2.76
3,15.048,1.26